# LaAlW (meta-GGA SCAN, PBEsol geometry)
# Fermi-level density of states, states/eV per cell: 11.8
# Polymorph energy (0 for the lowest one), meV/atom: 1271
# Calculated formation energy, eV per atom: 1.63
data_LaAlW
_chemical_formula_sum 'La4 Al4 W4'
_cell_length_a 6.766
_cell_length_b 6.766
_cell_length_c 6.766
_cell_angle_alpha 90.00
_cell_angle_beta 90.00
_cell_angle_gamma 90.00
_symmetry_space_group_name_H-M 'F -4 3 m'
_symmetry_Int_Tables_number 216
_symmetry_space_group_name_Hall 'F -4 2 3'
loop_
_atom_site_label
_atom_site_fract_x
_atom_site_fract_y
_atom_site_fract_z
La1 0.000 0.000 0.000
Al1 0.250 0.250 0.250
W1 0.250 0.250 0.750